1.
5
Lattice="5.264 0.000 0.000 0.000 5.264 0.000 0.000 0.000 5.264" Properties=species:S:1:pos:R:3 comment="PBE CsLi3H, optimized geometry" mass_density_g_cm3=1.8 dos_at_fermi_per_ev_cell=4.10 spacegroup="Pm-3m, No. 221" e_tot_ev_per_atom=-1.61 pbc="T T T"
Cs 0.000 0.000 0.000
Li 0.000 2.632 2.632
Li 2.632 0.000 2.632
Li 2.632 2.632 0.000
H 2.632 2.632 2.632

2.
4
Lattice="-1.811 1.811 5.717 1.811 -1.811 5.717 1.811 1.811 -5.717" Properties=species:S:1:pos:R:3 comment="PBE CsLiH2, optimized geometry" polymorph_energy_ev_per_fu=0.414 mass_density_g_cm3=3.1 dos_at_fermi_per_ev_cell=0.00 spacegroup="I-4m2, No. 119" e_tot_ev_per_atom=-2.51 pbc="T T T"
Cs 0.000 0.000 0.000
Li 1.811 0.000 2.859
H 0.000 0.000 3.878
H 0.000 0.000 7.556

3.
14
Lattice="5.951 0.000 0.000 0.000 5.951 0.000 0.000 0.000 5.951" Properties=species:S:1:pos:R:3 comment="PBE CsLi3H3, optimized geometry" mass_density_g_cm3=2.5 dos_at_fermi_per_ev_cell=4.03 spacegroup="Pm-3n, No. 223" e_tot_ev_per_atom=-2.44 pbc="T T T"
Cs 0.000 0.000 0.000
Cs 2.976 2.976 2.976
Li 0.000 1.488 2.976
Li 0.000 4.464 2.976
Li 1.488 2.976 0.000
Li 2.976 0.000 1.488
Li 2.976 0.000 4.464
Li 4.464 2.976 0.000
H 0.000 2.976 1.488
H 0.000 2.976 4.464
H 1.488 0.000 2.976
H 2.976 1.488 0.000
H 2.976 4.464 0.000
H 4.464 0.000 2.976

4.
6
Lattice="6.277 -2.970 0.000 6.277 2.970 0.000 -1.637 0.000 5.439" Properties=species:S:1:pos:R:3 comment="PBE CsLiH, optimized geometry" polymorph_energy_ev_per_fu=0.000 mass_density_g_cm3=2.3 dos_at_fermi_per_ev_cell=0.52 spacegroup="C2/m, No. 12" e_tot_ev_per_atom=-2.13 pbc="T T T"
Cs 2.022 0.000 1.051
Cs 8.895 0.000 4.388
Li 5.898 0.000 1.229
Li 5.018 0.000 4.211
H 3.329 0.000 5.041
H 7.587 0.000 0.398